A plane-wave DFT calculation with PBE+U was carried out for a relaxed KCoC4O4 crystal.

## Properties
crystal system = monoclinic
VASP energy = -7.01 eV per atom

Cell: 5.653 10.968 11.713 Å, 98.50 103.96 104.93°
Fractional coordinates of all 40 atoms:
Co1 0.571 0.491 0.745
C1 0.711 0.629 0.339
O1 0.906 0.709 0.391
O2 0.829 0.826 0.643
C2 0.538 0.919 0.348
O3 0.171 0.174 0.357
C3 0.257 0.129 0.839
O4 0.548 0.132 0.584
K1 0.332 0.709 0.561
O5 0.361 0.674 0.857
Co2 0.429 0.509 0.255
O6 0.092 0.439 0.403
C4 0.289 0.371 0.661
O7 0.168 0.632 0.084
C5 0.574 0.962 0.842
O8 0.639 0.326 0.143
C6 0.426 0.038 0.158
K2 0.062 0.791 0.939
K3 0.668 0.291 0.439
K4 0.938 0.209 0.061
O9 0.094 0.292 0.609
C7 0.462 0.081 0.652
Co3 0.336 0.009 0.755
C8 0.770 0.538 0.658
C9 0.039 0.896 0.686
O10 0.194 0.209 0.891
O11 0.908 0.561 0.597
O12 0.452 0.868 0.416
C10 0.730 0.419 0.848
O13 0.749 0.939 0.903
O14 0.832 0.368 0.916
C11 0.544 0.396 0.186
C12 0.270 0.581 0.152
O15 0.251 0.061 0.097
C13 0.743 0.871 0.161
O16 0.806 0.792 0.109
Co4 0.664 0.991 0.245
C14 0.456 0.604 0.814
C15 0.230 0.462 0.342
C16 0.961 0.104 0.314